[1]
The following is a DFT calculation (PBE-GGA) of crystalline Ga2PbO4 at its relaxed geometry.

extended XYZ file:
```
14
Lattice="5.451 0.004 0.000 -2.844 4.650 0.000 0.000 0.000 8.717" Properties=species:S:1:pos:R:3 pbc="T T T"
O 2.019 0.037 0.516
O -1.023 1.741 4.874
O 1.764 3.149 0.000
O 1.764 3.149 4.358
O 2.019 0.037 3.842
O -1.023 1.741 8.200
O 0.169 4.038 6.537
O 3.355 2.254 2.179
Ga -0.030 3.304 8.260
Ga 2.833 1.700 3.902
Ga 2.833 1.700 0.457
Ga -0.030 3.304 4.815
Pb -2.597 4.504 2.179
Pb 5.197 0.138 6.537
```

Space-group type   Ama2, No. 40

[2]
The following is a DFT calculation (PBE-GGA) of crystalline Ga2PbO4 at its relaxed geometry.

extended XYZ file:
```
7
Lattice="-3.786 0.359 2.247 1.458 -2.966 2.931 2.305 4.294 3.197" Properties=species:S:1:pos:R:3 pbc="T T T"
Pb 0.000 0.000 0.000
O 0.149 0.713 2.322
O 1.710 0.796 4.938
O -1.008 -0.582 4.895
O -0.896 2.448 4.598
Ga 1.882 0.664 3.064
Ga -0.740 2.326 2.722
```

Space-group type   P-42m, No. 111

Ordered energy relative to the elements, uncorrected results: -1671 -1538; unit meV per atom.
Ordered size of the total moment results: 0.0000 0.0000; unit μB per atom.